[1]
Entry from Alexandria via LeMat-Bulk: crystalline Mn2PO5 at its relaxed geometry (GGA+U).

extended XYZ file:
```
32
Lattice="-0.640 -5.450 -3.354 6.934 1.195 -3.265 3.451 -4.012 5.862" Properties=species:S:1:pos:R:3 pbc="T T T"
Mn 0.000 0.000 0.000
Mn -0.320 -2.725 -1.677
Mn 3.166 -3.910 2.667
Mn 2.611 -4.373 -2.642
Mn 5.193 -1.409 1.299
Mn 4.873 -4.134 -0.378
Mn 7.134 -3.895 1.886
Mn 6.580 -4.358 -3.424
P 2.766 -6.593 0.936
P 2.926 -1.591 -1.056
P 6.819 -6.677 0.299
P 6.980 -1.675 -1.692
O 1.514 -3.166 1.773
O 0.543 -4.428 -2.158
O 3.023 -8.145 0.978
O 3.275 -5.995 2.301
O 1.388 -1.416 -1.047
O 3.644 -6.001 -0.193
O 3.484 -0.986 0.286
O 3.232 -3.136 -1.036
O 4.783 -3.331 1.417
O 6.173 -7.337 1.496
O 3.572 -0.931 -2.252
O 4.962 -4.937 -2.173
O 6.514 -5.132 0.280
O 6.261 -7.282 -1.043
O 6.101 -2.267 -0.563
O 8.357 -6.852 0.291
O 6.723 -0.123 -1.734
O 6.470 -2.273 -3.057
O 9.203 -3.840 1.402
O 8.232 -5.102 -2.530
```

Properties
- ρ (g cm⁻³) = 3.72
- energy above the most stable polymorph in this dataset (eV/atom) = 0.0030
- final energy (eV per atom) = -7.6219

[2]
Entry from Alexandria via LeMat-Bulk: crystalline MnPO3 at its relaxed geometry (GGA+U).

extended XYZ file:
```
5
Lattice="-2.289 2.882 -0.681 -2.774 -1.785 1.768 1.036 1.586 3.228" Properties=species:S:1:pos:R:3 pbc="T T T"
P -2.014 1.341 2.157
Mn 0.000 0.000 0.000
O -1.387 -0.893 0.884
O 0.518 0.793 1.614
O -1.144 1.441 -0.341
```

Properties
- ρ (g cm⁻³) = 4.24
- final energy (eV per atom) = -5.8797

[3]
Entry from Alexandria via LeMat-Bulk: crystalline Mn3P4O14 at its relaxed geometry (GGA+U).

extended XYZ file:
```
21
Lattice="-1.434 -4.965 3.367 3.086 -4.983 -3.301 5.828 -1.186 4.962" Properties=species:S:1:pos:R:3 pbc="T T T"
Mn 3.086 -4.983 -3.301
Mn 4.441 -7.194 4.028
Mn 3.038 -3.940 0.999
P 5.816 -4.428 4.810
P 1.664 -6.706 0.217
P 1.627 -5.817 3.102
P 5.852 -5.317 1.925
O 2.372 -7.017 3.810
O 5.108 -4.117 1.217
O 2.597 -4.690 2.864
O 4.883 -6.444 2.163
O 5.244 -2.998 4.727
O 2.236 -8.136 0.301
O 6.413 -4.746 3.323
O 1.066 -6.388 1.705
O 7.124 -5.657 1.148
O 0.355 -5.477 3.879
O 6.290 -7.815 4.256
O 1.189 -3.319 0.771
O 2.745 -5.678 -0.094
O 4.734 -5.456 5.122
```

Properties
- ρ (g cm⁻³) = 2.86
- final energy (eV per atom) = -7.4047

[4]
Entry from Alexandria via LeMat-Bulk: crystalline Mn2PO5 at its relaxed geometry (GGA+U).

extended XYZ file:
```
16
Lattice="5.098 0.038 0.005 -1.615 6.313 -0.028 -1.399 -2.886 6.198" Properties=species:S:1:pos:R:3 pbc="T T T"
Mn 2.552 3.582 2.348
Mn 2.118 -1.787 4.627
Mn -0.033 5.252 1.548
Mn -0.467 -0.117 3.827
P 2.080 1.564 5.033
P 0.004 1.901 1.142
O 3.636 2.124 1.610
O 3.218 -1.054 2.880
O 3.441 4.788 0.344
O 1.256 0.237 4.814
O 1.446 2.696 4.187
O 0.639 0.769 1.989
O 0.829 3.228 1.361
O -1.357 -1.323 5.831
O -1.133 4.519 3.295
O -1.551 1.341 4.566
```

Properties
- ρ (g cm⁻³) = 3.68
- energy above the most stable polymorph in this dataset (eV/atom) = 0.0400
- final energy (eV per atom) = -7.5849

[5]
Entry from Alexandria via LeMat-Bulk: crystalline Mn3P2O8 at its relaxed geometry (GGA+U).

extended XYZ file:
```
26
Lattice="6.257 0.000 0.000 -3.128 5.751 0.000 0.000 0.000 8.218" Properties=species:S:1:pos:R:3 pbc="T T T"
Mn 1.564 4.067 2.055
Mn 3.128 0.000 4.109
Mn 4.692 1.684 6.164
Mn -1.564 4.067 2.055
Mn 0.000 0.000 0.000
Mn 1.564 1.684 6.164
P 3.128 1.371 0.944
P 3.128 4.380 5.053
P 0.000 1.371 3.165
P 0.000 4.380 7.274
O 1.289 4.395 8.139
O 1.839 4.395 4.188
O 3.128 5.605 6.071
O 3.128 3.055 5.882
O 3.128 0.146 1.962
O 3.128 2.696 1.773
O -1.839 4.395 4.188
O 4.417 1.356 0.079
O -1.289 4.395 8.139
O 4.967 1.356 4.030
O 0.000 0.146 2.148
O 0.000 5.605 6.257
O 0.000 2.696 2.336
O 0.000 3.055 6.445
O 1.289 1.356 4.030
O 1.839 1.356 0.079
```

Properties
- ρ (g cm⁻³) = 3.98
- energy above the most stable polymorph in this dataset (eV/atom) = 0.0854
- final energy (eV per atom) = -7.6428

[6]
Entry from Alexandria via LeMat-Bulk: crystalline Mn2PO5 at its relaxed geometry (GGA+U).

extended XYZ file:
```
16
Lattice="-3.258 -2.036 -0.688 4.264 -3.194 0.326 -1.372 -0.897 9.149" Properties=species:S:1:pos:R:3 pbc="T T T"
Mn -0.334 -4.391 3.502
Mn 0.138 -4.083 0.360
Mn -0.032 -1.736 5.286
Mn -0.504 -2.044 8.428
P -0.967 -4.395 6.506
P 0.600 -1.732 2.281
O -0.533 -5.474 7.647
O -0.190 -5.250 5.358
O 1.052 -2.867 3.501
O 1.419 -2.627 1.053
O -0.824 -3.076 1.935
O 0.458 -3.051 6.852
O -1.418 -3.260 5.287
O -1.785 -3.500 7.734
O 0.167 -0.653 1.140
O -0.176 -0.877 3.430
```

Properties
- ρ (g cm⁻³) = 4.07
- energy above the most stable polymorph in this dataset (eV/atom) = 0.3181
- final energy (eV per atom) = -7.3068